Below is a relaxed structure of MgNi2WO6, with properties calculated at the PBE+U level.

POSCAR file:
```
MgNi2WO6
1.0
2.579 1.489 4.688
-2.579 1.489 4.688
0.000 -2.978 4.688
Mg Ni W O
1 2 1 6
direct
0.000 0.000 0.000
0.206 0.206 0.206
0.706 0.706 0.706
0.507 0.507 0.507
0.131 0.410 0.773
0.301 0.891 0.606
0.410 0.773 0.131
0.606 0.301 0.891
0.773 0.131 0.410
0.891 0.606 0.301
```

Output
Energy ... -6.163 eV/atom
Magnetic moment ... 4.0 μB/f.u.
Space-group type ... R3